Entry 1:
This record from Alexandria via LeMat-Bulk describes a geometry-optimized PmMnAgCl6 structure. The functional is PBE.

Calculated values
uncorrected energy = -40.8 eV per formula unit
DOS(E_F) = 0.000 states/eV/f.u.
raw formation energy = -1.442 eV per atom

```
data_PmMnAgCl6
_cell_length_a 6.374
_cell_length_b 6.374
_cell_length_c 11.900
_cell_angle_alpha 90.00
_cell_angle_beta 90.00
_cell_angle_gamma 90.00
_space_group_name_H-M_alt 'P 1'
_space_group_IT_number 1
_space_group_name_Hall 'P 1'
loop_
_atom_site_label
_atom_site_fract_x
_atom_site_fract_y
_atom_site_fract_z
_atom_site_occupancy
Pm1 0.000 0.000 0.000 1
Pm2 0.500 0.500 0.500 1
Mn1 0.000 0.000 0.663 1
Mn2 0.500 0.500 0.163 1
Ag1 0.000 0.000 0.326 1
Ag2 0.500 0.500 0.826 1
Cl1 0.190 0.190 0.820 1
Cl2 0.195 0.195 0.507 1
Cl3 0.215 0.215 0.160 1
Cl4 0.285 0.715 0.660 1
Cl5 0.305 0.695 0.007 1
Cl6 0.310 0.690 0.320 1
Cl7 0.690 0.310 0.320 1
Cl8 0.695 0.305 0.007 1
Cl9 0.715 0.285 0.660 1
Cl10 0.785 0.785 0.160 1
Cl11 0.805 0.805 0.507 1
Cl12 0.810 0.810 0.820 1
```

=====

Entry 2:
This record from Alexandria via LeMat-Bulk describes a geometry-optimized K7Ag2O2 structure. The functional is PBE.

Calculated values
uncorrected energy = -28.6 eV per formula unit
DOS(E_F) = 2.508 states/eV/f.u.
raw formation energy = -0.480 eV per atom

```
data_K7Ag2O2
_cell_length_a 10.426
_cell_length_b 10.426
_cell_length_c 4.197
_cell_angle_alpha 101.54
_cell_angle_beta 101.54
_cell_angle_gamma 114.16
_space_group_name_H-M_alt 'P 1'
_space_group_IT_number 1
_space_group_name_Hall 'P 1'
loop_
_atom_site_label
_atom_site_fract_x
_atom_site_fract_y
_atom_site_fract_z
_atom_site_occupancy
K1 0.000 0.000 0.000 1
K2 0.070 0.361 0.721 1
K3 0.338 0.338 0.347 1
K4 0.361 0.070 0.721 1
K5 0.639 0.930 0.279 1
K6 0.662 0.662 0.653 1
K7 0.930 0.639 0.279 1
Ag1 0.309 0.691 0.500 1
Ag2 0.691 0.309 0.500 1
O1 0.195 0.195 0.704 1
O2 0.805 0.805 0.296 1
```